# As2IrSeO | Alexandria | PBE-GGA | optimized geometry
# - crystal system = tetragonal
# - raw formation energy (eV/atom) = 1.02
# - E above lowest polymorph (eV/f.u.) = 2.429
data_As2IrSeO
_symmetry_space_group_name_H-M 'P 4/m m m'
_symmetry_Int_Tables_number 123
_symmetry_space_group_name_Hall '-P 4 2'
_cell_length_a 4.8011
_cell_length_b 4.8011
_cell_length_c 4.8872
_cell_angle_alpha 90.00
_cell_angle_beta 90.00
_cell_angle_gamma 90.00
loop_
_atom_site_label
_atom_site_type_symbol
_atom_site_fract_x
_atom_site_fract_y
_atom_site_fract_z
_atom_site_occupancy
As1 As 0.0000 0.5000 0.0000 1
Ir1 Ir 0.0000 0.0000 0.0000 1
Se1 Se 0.0000 0.0000 0.5000 1
O1 O 0.5000 0.5000 0.5000 1